No. 1
# CsNaCa2Pd PBE relaxed
# Crystal system = tetragonal
# Mass density = 2539 kg/m³
# Formation enthalpy at 0 K = -7.4 kJ per mole of atoms
# Relative energy among the computed polymorphs = 48 meV per atom
data_CsNaCa2Pd
_chemical_formula_sum 'Cs1 Na1 Ca2 Pd1'
_space_group_name_H-M_alt 'P 4/m m m'
_space_group_IT_number 123
_space_group_name_Hall '-P 4 2'
_cell_length_a 5.702
_cell_length_b 5.702
_cell_length_c 6.888
_cell_angle_alpha 90.00
_cell_angle_beta 90.00
_cell_angle_gamma 90.00
loop_
_atom_site_label
_atom_site_fract_x
_atom_site_fract_y
_atom_site_fract_z
Cs1 0.000 0.000 0.000
Na1 0.500 0.500 0.000
Ca1 0.000 0.500 0.500
Pd1 0.000 0.000 0.500

***

No. 2
# Nb2BiBSb PBE relaxed
# Raw formation energy = 1.461 eV/atom
# Crystal system = tetragonal
# Mass density = 7519 kg/m³
# Relative energy among the computed polymorphs = 0 meV per atom
data_Nb2BiBSb
_chemical_formula_sum 'Nb2 Bi1 B1 Sb1'
_space_group_name_H-M_alt 'P 4/m m m'
_space_group_IT_number 123
_space_group_name_Hall '-P 4 2'
_cell_length_a 5.257
_cell_length_b 5.257
_cell_length_c 4.214
_cell_angle_alpha 90.00
_cell_angle_beta 90.00
_cell_angle_gamma 90.00
loop_
_atom_site_label
_atom_site_fract_x
_atom_site_fract_y
_atom_site_fract_z
Nb1 0.000 0.500 0.000
Bi1 0.000 0.000 0.500
B1 0.500 0.500 0.500
Sb1 0.500 0.500 0.000

***

No. 3
# Cs2LiAl PBE relaxed
# Crystal system = tetragonal
# Mass density = 1844 kg/m³
# Formation enthalpy at 0 K = 33.1 kJ per mole of atoms
# Relative energy among the computed polymorphs = 0 meV per atom
data_Cs2LiAl
_chemical_formula_sum 'Cs8 Li4 Al4'
_space_group_name_H-M_alt 'I -4 2 d'
_space_group_IT_number 122
_space_group_name_Hall 'I -4 2bw'
_cell_length_a 14.020
_cell_length_b 14.020
_cell_length_c 5.493
_cell_angle_alpha 90.00
_cell_angle_beta 90.00
_cell_angle_gamma 90.00
loop_
_atom_site_label
_atom_site_fract_x
_atom_site_fract_y
_atom_site_fract_z
Cs1 0.067 0.250 0.125
Li1 0.000 0.000 0.500
Al1 0.000 0.000 0.000

***

No. 4
# LiSmGe2Pd2 PBE relaxed
# Crystal system = trigonal
# Mass density = 7932 kg/m³
# Formation enthalpy at 0 K = -75.2 kJ per mole of atoms
data_LiSmGe2Pd2
_chemical_formula_sum 'Li1 Sm1 Ge2 Pd2'
_space_group_name_H-M_alt 'P -3 m 1'
_space_group_IT_number 164
_space_group_name_Hall '-P 3 2"'
_cell_length_a 4.2882
_cell_length_b 4.2882
_cell_length_c 6.7753
_cell_angle_alpha 90.00
_cell_angle_beta 90.00
_cell_angle_gamma 120.00
loop_
_atom_site_label
_atom_site_fract_x
_atom_site_fract_y
_atom_site_fract_z
Li1 0.0000 0.0000 0.0000
Sm1 0.0000 0.0000 0.5000
Ge1 0.3333 0.6667 0.7675
Pd1 0.3333 0.6667 0.1452

***

No. 5
# Zr2SbAs PBE relaxed
# Raw formation energy = -0.648 eV/atom
# Crystal system = monoclinic
# Mass density = 7287 kg/m³
data_Zr2SbAs
_chemical_formula_sum 'Zr2 Sb1 As1'
_space_group_name_H-M_alt 'P 1 2/m 1'
_space_group_IT_number 10
_cell_length_a 3.500
_cell_length_b 3.720
_cell_length_c 6.779
_cell_angle_alpha 90.00
_cell_angle_beta 101.77
_cell_angle_gamma 90.00
loop_
_space_group_symop_operation_xyz
'x,y,z'
'-x,-y,-z'
'-x,y,-z'
'x,-y,z'
loop_
_atom_site_label
_atom_site_fract_x
_atom_site_fract_y
_atom_site_fract_z
Zr1 0.083 0.000 0.262
Sb1 0.500 0.500 0.000
As1 0.500 0.500 0.500

***

No. 6
# YPu2Rh2 PBE relaxed
# Crystal system = orthorhombic
# Mass density = 12675 kg/m³
# Formation enthalpy at 0 K = -25.7 kJ per mole of atoms
# Relative energy among the computed polymorphs = 147 meV per atom
data_YPu2Rh2
_chemical_formula_sum 'Y4 Pu8 Rh8'
_space_group_name_H-M_alt 'C m c m'
_space_group_IT_number 63
_space_group_name_Hall '-C 2c 2'
_cell_length_a 4.922
_cell_length_b 24.376
_cell_length_c 3.419
_cell_angle_alpha 90.00
_cell_angle_beta 90.00
_cell_angle_gamma 90.00
loop_
_atom_site_label
_atom_site_fract_x
_atom_site_fract_y
_atom_site_fract_z
Y1 0.000 0.136 0.250
Pu1 0.000 0.269 0.750
Pu2 0.000 0.467 0.750
Rh1 0.000 0.047 0.750
Rh2 0.000 0.366 0.250

***

No. 7
# BaLi4Ag2 PBE relaxed
# Crystal system = tetragonal
# Mass density = 3823 kg/m³
# Formation enthalpy at 0 K = -15.4 kJ per mole of atoms
data_BaLi4Ag2
_chemical_formula_sum 'Ba2 Li8 Ag4'
_space_group_name_H-M_alt 'P 42/m n m'
_space_group_IT_number 136
_space_group_name_Hall '-P 4n 2n'
_cell_length_a 8.561
_cell_length_b 8.561
_cell_length_c 4.514
_cell_angle_alpha 90.00
_cell_angle_beta 90.00
_cell_angle_gamma 90.00
loop_
_atom_site_label
_atom_site_fract_x
_atom_site_fract_y
_atom_site_fract_z
Ba1 0.000 0.000 0.000
Li1 0.090 0.349 0.500
Ag1 0.221 0.779 0.500

***

No. 8
# Ho3Tm3Cu2Tc PBE relaxed
# Crystal system = hexagonal
# Mass density = 9438 kg/m³
# Formation enthalpy at 0 K = -16.0 kJ per mole of atoms
data_Ho3Tm3Cu2Tc
_chemical_formula_sum 'Ho3 Tm3 Cu2 Tc1'
_space_group_name_H-M_alt 'P -6 2 m'
_space_group_IT_number 189
_space_group_name_Hall 'P -6 -2'
_cell_length_a 7.3012
_cell_length_b 7.3012
_cell_length_c 4.6752
_cell_angle_alpha 90.00
_cell_angle_beta 90.00
_cell_angle_gamma 120.00
loop_
_atom_site_label
_atom_site_fract_x
_atom_site_fract_y
_atom_site_fract_z
Ho1 0.0000 0.4023 0.0000
Tm1 0.0000 0.7436 0.5000
Cu1 0.3333 0.6667 0.5000
Tc1 0.0000 0.0000 0.0000